(1)
## LaNdI6 (GGA-PBE)

Data for an optimized crystal structure of LaNdI6.

Lattice parameters (Å, degrees): 7.8565 7.8565 21.4749 90.00 90.00 120.00
Last column: nearest neighbours and their distance in Å.
Space group R-3 (No. 148, hexagonal axes)
Asymmetric unit:
La: 0.0000 0.0000 0.0000 [3 per cell]  6 I 3.19
Nd: 0.0000 0.0000 0.5000 [3 per cell]  6 I 3.14
I: 0.0012 0.3299 0.5827 [18 per cell]  1 Nd 3.14, 1 La 3.19

Relative energy among the computed polymorphs = 19 meV per atom

=====

(2)
## LaNdI5 (GGA-PBE)

Data for an optimized crystal structure of LaNdI5.

Lattice parameters (Å, degrees): 9.3365 4.3794 15.0184 90.00 94.28 90.00
Last column: nearest neighbours and their distance in Å.
Space group P2_1/m (No. 11)
Asymmetric unit:
La: 0.1013 0.2500 0.1520 [2 per cell]  7 I 3.25-3.40
Nd: 0.4157 0.7500 0.3441 [2 per cell]  7 I 3.16-3.43
I: 0.0666 0.7500 0.3106 [2 per cell]  1 Nd 3.26, 2 La 3.27
I: 0.1385 0.2500 0.9287 [2 per cell]  3 La 3.30-3.40
I: 0.3198 0.2500 0.4851 [2 per cell]  3 Nd 3.22-3.43
I: 0.3524 0.7500 0.1277 [2 per cell]  2 La 3.25, 1 Nd 3.26
I: 0.3639 0.7500 0.7126 [2 per cell]  2 Nd 3.16

=====

(3)
## La2Nd2I7 (GGA-PBE)

Data for an optimized crystal structure of La2Nd2I7.

Lattice parameters (Å, degrees): 9.4149 13.6239 8.3234 90.00 91.83 90.00
Last column: nearest neighbours and their distance in Å.
Space group C2/m (No. 12)
Asymmetric unit:
La: 0.0000 0.1436 0.0000 [4 per cell]  6 I 3.24-3.50
Nd: 0.1918 0.0000 0.3591 [4 per cell]  5 I 3.09-3.20
I: 0.0000 0.5000 0.5000 [2 per cell]  2 Nd 3.09
I: 0.1391 0.0000 0.7372 [4 per cell]  2 Nd 3.19-3.20, 2 La 3.24
I: 0.2167 0.2989 0.7799 [8 per cell]  1 Nd 3.11, 1 La 3.28

=====

no.,DOS at the Fermi energy (states/eV/cell),energy (eV per atom)
1,0.00,-3.78
2,3.79,-3.93
3,14.20,-3.83